[1]
First-principles (PBE) data for a relaxed Ho3HgTe2 crystal, as listed in Alexandria via LeMat-Bulk.

SG	Immm
calculated volume	172	Å³ per cell
formation energy (no corrections)	-6.005	eV/f.u.
theoretical density	9.2	g cm⁻³

Unit cell a=4.164 b=6.145 c=7.685 alpha=113.56 beta=105.72 gamma=90.00
Fractional positions:
Ho1 0.840 0.340 0.180
Ho2 0.160 0.660 0.820
Ho3 0.500 0.000 0.500
Hg1 0.500 0.500 0.500
Te1 0.830 0.830 0.160
Te2 0.170 0.170 0.840

[2]
First-principles (PBE) data for a relaxed Ho2HgTe crystal, as listed in Alexandria via LeMat-Bulk.

SG	C2/m
calculated volume	114	Å³ per cell
formation energy (no corrections)	-3.373	eV/f.u.
theoretical density	9.6	g cm⁻³

Unit cell a=4.114 b=4.120 c=8.136 alpha=104.61 beta=90.00 gamma=119.95
Fractional positions:
Ho1 0.249 0.998 0.247
Ho2 0.751 0.002 0.753
Hg1 0.500 0.500 0.000
Te1 0.000 0.500 0.500

[3]
First-principles (PBE) data for a relaxed Ho5HgTe4 crystal, as listed in Alexandria via LeMat-Bulk.

SG	I4/m
calculated volume	289	Å³ per cell
formation energy (no corrections)	-11.260	eV/f.u.
theoretical density	8.8	g cm⁻³

Unit cell a=6.131 b=7.519 c=7.519 alpha=80.43 beta=65.94 gamma=65.94
Fractional positions:
Ho1 0.902 0.385 0.813
Ho2 0.287 0.813 0.615
Ho3 0.715 0.187 0.385
Ho4 0.100 0.615 0.187
Ho5 0.501 0.000 0.000
Hg1 0.001 0.000 0.000
Te1 0.408 0.398 0.788
Te2 0.806 0.788 0.602
Te3 0.196 0.212 0.398
Te4 0.594 0.602 0.212

[4]
First-principles (PBE) data for a relaxed Ho2Tl3HgTe6 crystal, as listed in Alexandria via LeMat-Bulk.

SG	C2/m
calculated volume	409	Å³ per cell
formation energy (no corrections)	-8.239	eV/f.u.
theoretical density	7.8	g cm⁻³

Unit cell a=7.747 b=7.747 c=8.286 alpha=98.84 beta=98.84 gamma=120.23
Fractional positions:
Ho1 0.333 0.667 0.000
Ho2 0.667 0.333 0.000
Tl1 0.171 0.829 0.500
Tl2 0.829 0.171 0.500
Tl3 0.500 0.500 0.500
Hg1 0.000 0.000 0.000
Te1 0.928 0.590 0.782
Te2 0.737 0.737 0.219
Te3 0.072 0.410 0.218
Te4 0.590 0.928 0.782
Te5 0.263 0.263 0.781
Te6 0.410 0.072 0.218

[5]
First-principles (PBE) data for a relaxed HoTh2Hg3 crystal, as listed in Alexandria via LeMat-Bulk.

SG	P4/mmm
uncorrected energy	-3.69	eV/atom
calculated volume	162	Å³ per cell
theoretical density	12.6	g cm⁻³

Unit cell a=3.628 b=3.628 c=12.292 alpha=90.00 beta=90.00 gamma=90.00
Fractional positions:
Ho1 0.500 0.500 0.500
Th1 0.500 0.500 0.827
Th2 0.500 0.500 0.173
Hg1 0.000 0.000 0.000
Hg2 0.000 0.000 0.649
Hg3 0.000 0.000 0.351

[6]
First-principles (PBE) data for a relaxed HoTh2Hg crystal, as listed in Alexandria via LeMat-Bulk.

SG	P4/mmm
uncorrected energy	-5.01	eV/atom
calculated volume	116	Å³ per cell
theoretical density	11.9	g cm⁻³

Unit cell a=5.030 b=4.794 c=4.794 alpha=90.00 beta=90.00 gamma=90.00
Fractional positions:
Hg1 0.500 0.500 0.500
Th1 0.000 0.000 0.500
Th2 0.000 0.500 0.000
Ho1 0.500 0.000 0.000

[7]
First-principles (PBE) data for a relaxed HoThHg5 crystal, as listed in Alexandria via LeMat-Bulk.

SG	P4/mmm
uncorrected energy	-2.11	eV/atom
calculated volume	187	Å³ per cell
theoretical density	12.5	g cm⁻³

Unit cell a=5.071 b=5.071 c=7.257 alpha=90.00 beta=90.00 gamma=90.00
Fractional positions:
Ho1 0.500 0.500 0.000
Th1 0.000 0.000 0.500
Hg1 0.000 0.500 0.775
Hg2 0.000 0.500 0.225
Hg3 0.500 0.000 0.775
Hg4 0.500 0.000 0.225
Hg5 0.500 0.500 0.500

[8]
First-principles (PBE) data for a relaxed HoThHg3 crystal, as listed in Alexandria via LeMat-Bulk.

SG	Cmcm
uncorrected energy	-2.90	eV/atom
calculated volume	258	Å³ per cell
theoretical density	12.9	g cm⁻³

Unit cell a=3.531 b=4.964 c=14.809 alpha=90.00 beta=96.85 gamma=90.00
Fractional positions:
Ho1 0.212 0.750 0.424
Ho2 0.788 0.250 0.576
Th1 0.924 0.750 0.848
Th2 0.076 0.250 0.152
Hg1 0.624 0.750 0.248
Hg2 0.376 0.250 0.752
Hg3 0.525 0.750 0.049
Hg4 0.475 0.250 0.951
Hg5 0.682 0.250 0.365
Hg6 0.318 0.750 0.635

[9]
First-principles (PBE) data for a relaxed Ho2ThHg5 crystal, as listed in Alexandria via LeMat-Bulk.

SG	I4/mmm
uncorrected energy	-2.61	eV/atom
calculated volume	202	Å³ per cell
theoretical density	12.8	g cm⁻³

Unit cell a=5.257 b=5.257 c=8.213 alpha=108.67 beta=108.67 gamma=90.00
Fractional positions:
Ho1 0.733 0.733 0.467
Ho2 0.267 0.267 0.533
Th1 0.000 0.000 0.000
Hg1 0.500 0.500 0.000
Hg2 0.871 0.371 0.742
Hg3 0.371 0.871 0.742
Hg4 0.129 0.629 0.258
Hg5 0.629 0.129 0.258

[10]
First-principles (PBE) data for a relaxed Ho12Th3Hg5 crystal, as listed in Alexandria via LeMat-Bulk.

SG	Ia-3d
uncorrected energy	-3.52	eV/atom
calculated volume	2938	Å³ per cell
theoretical density	8.3	g cm⁻³

Unit cell a=15.628 b=15.628 c=15.628 alpha=109.47 beta=109.47 gamma=109.47
Fractional positions:
Th1 0.750 0.375 0.125
Th2 0.875 0.750 0.125
Th3 0.375 0.750 0.625
Th4 0.250 0.125 0.375
Th5 0.875 0.125 0.250
Th6 0.375 0.625 0.250
Th7 0.625 0.375 0.750
Th8 0.125 0.875 0.750
Th9 0.750 0.875 0.625
Th10 0.625 0.250 0.375
Th11 0.125 0.250 0.875
Th12 0.250 0.625 0.875
Hg1 0.125 0.375 0.250
Hg2 0.000 0.500 0.000
Hg3 0.000 0.000 0.000
Hg4 0.375 0.250 0.125
Hg5 0.500 0.000 0.500
Hg6 0.500 0.500 0.000
Hg7 0.125 0.750 0.375
Hg8 0.750 0.125 0.875
Hg9 0.750 0.625 0.375
Hg10 0.375 0.125 0.750
Hg11 0.625 0.875 0.250
Hg12 0.500 0.500 0.500
Hg13 0.500 0.000 0.000
Hg14 0.000 0.000 0.500
Hg15 0.250 0.375 0.625
Hg16 0.250 0.875 0.125
Hg17 0.000 0.500 0.500
Hg18 0.875 0.250 0.625
Hg19 0.625 0.750 0.875
Hg20 0.875 0.625 0.750
Ho1 0.720 0.131 0.053
Ho2 0.334 0.553 0.422
Ho3 0.947 0.369 0.280
Ho4 0.553 0.220 0.131
Ho5 0.589 0.720 0.666
Ho6 0.947 0.578 0.166
Ho7 0.334 0.780 0.411
Ho8 0.078 0.911 0.131
Ho9 0.578 0.947 0.666
Ho10 0.720 0.589 0.166
Ho11 0.780 0.447 0.369
Ho12 0.834 0.922 0.053
Ho13 0.131 0.720 0.553
Ho14 0.369 0.422 0.089
Ho15 0.089 0.922 0.369
Ho16 0.411 0.131 0.578
Ho17 0.089 0.166 0.220
Ho18 0.447 0.666 0.078
Ho19 0.834 0.911 0.280
Ho20 0.131 0.411 0.078
Ho21 0.369 0.947 0.780
Ho22 0.578 0.631 0.411
Ho23 0.922 0.834 0.553
Ho24 0.780 0.334 0.911
Ho25 0.422 0.369 0.589
Ho26 0.078 0.166 0.447
Ho27 0.220 0.666 0.089
Ho28 0.166 0.089 0.720
Ho29 0.631 0.053 0.220
Ho30 0.869 0.589 0.922
Ho31 0.553 0.334 0.922
Ho32 0.589 0.869 0.422
Ho33 0.911 0.834 0.780
Ho34 0.911 0.078 0.631
Ho35 0.869 0.280 0.447
Ho36 0.166 0.078 0.947
Ho37 0.631 0.578 0.911
Ho38 0.422 0.053 0.334
Ho39 0.280 0.411 0.834
Ho40 0.220 0.553 0.631
Ho41 0.922 0.089 0.869
Ho42 0.666 0.220 0.589
Ho43 0.447 0.780 0.869
Ho44 0.053 0.422 0.834
Ho45 0.411 0.280 0.334
Ho46 0.053 0.631 0.720
Ho47 0.666 0.447 0.578
Ho48 0.280 0.869 0.947

[11]
First-principles (PBE) data for a relaxed HoTh2Hg crystal, as listed in Alexandria via LeMat-Bulk.

SG	R-3m
uncorrected energy	-4.77	eV/atom
calculated volume	122	Å³ per cell
theoretical density	11.3	g cm⁻³

Unit cell a=3.401 b=3.401 c=12.313 alpha=82.06 beta=82.06 gamma=60.00
Fractional positions:
Hg1 0.500 0.500 0.500
Th1 0.092 0.092 0.725
Th2 0.908 0.908 0.275
Ho1 0.000 0.000 0.000

[12]
First-principles (PBE) data for a relaxed Ho2ThHg8 crystal, as listed in Alexandria via LeMat-Bulk.

SG	Immm
uncorrected energy	-1.97	eV/atom
calculated volume	279	Å³ per cell
theoretical density	12.9	g cm⁻³

Unit cell a=5.108 b=7.576 c=8.540 alpha=116.33 beta=107.40 gamma=90.00
Fractional positions:
Ho1 0.195 0.695 0.389
Ho2 0.805 0.305 0.611
Th1 0.500 0.000 0.000
Hg1 0.650 0.857 0.301
Hg2 0.350 0.556 0.699
Hg3 0.156 0.156 0.313
Hg4 0.000 0.296 0.000
Hg5 0.844 0.844 0.687
Hg6 0.650 0.444 0.301
Hg7 0.350 0.143 0.699
Hg8 0.000 0.704 0.000

Which of these has the highest calculated volume?
Ho12Th3Hg5

Copy entry 4 word for word.
First-principles (PBE) data for a relaxed Ho2Tl3HgTe6 crystal, as listed in Alexandria via LeMat-Bulk.

SG	C2/m
calculated volume	409	Å³ per cell
formation energy (no corrections)	-8.239	eV/f.u.
theoretical density	7.8	g cm⁻³

Unit cell a=7.747 b=7.747 c=8.286 alpha=98.84 beta=98.84 gamma=120.23
Fractional positions:
Ho1 0.333 0.667 0.000
Ho2 0.667 0.333 0.000
Tl1 0.171 0.829 0.500
Tl2 0.829 0.171 0.500
Tl3 0.500 0.500 0.500
Hg1 0.000 0.000 0.000
Te1 0.928 0.590 0.782
Te2 0.737 0.737 0.219
Te3 0.072 0.410 0.218
Te4 0.590 0.928 0.782
Te5 0.263 0.263 0.781
Te6 0.410 0.072 0.218